Entry 1:
VASP calculation (PBE-GGA) on a geometry-optimized Ta2TcRh structure.

a b c (Å): 2.8146 4.5867 5.1591
angles (deg): 90.00 100.56 90.00
Space group Pm (No. 6)
Unique sites:
Ta 0.0000 0.0000 0.0000 (multiplicity 1)
Ta 0.2590 0.5000 0.7025 (multiplicity 1)
Tc 0.7508 0.5000 0.1914 (multiplicity 1)
Rh 0.5034 0.0000 0.5046 (multiplicity 1)

energy of formation = -0.229 eV per atom
calculated density = 14.27 g/cm3

Entry 2:
VASP calculation (PBE-GGA) on a geometry-optimized TaTc2Rh structure.

a b c (Å): 6.2829 6.2829 6.2829
angles (deg): 90.00 90.00 90.00
Space group Fm-3m (No. 225)
Unique sites:
Ta 0.0000 0.0000 0.0000 (multiplicity 4)
Tc 0.2500 0.2500 0.2500 (multiplicity 8)
Rh 0.0000 0.0000 0.5000 (multiplicity 4)

energy of formation = 0.061 eV per atom
calculated density = 12.85 g/cm3

Entry 3:
VASP calculation (PBE-GGA) on a geometry-optimized TaTc2Rh structure.

a b c (Å): 3.8710 3.8783 8.2176
angles (deg): 90.00 90.00 90.00
Space group Cmmm (No. 65)
Unique sites:
Ta 0.0000 0.0000 0.0000 (multiplicity 2)
Tc 0.0000 0.5000 0.2660 (multiplicity 4)
Rh 0.0000 0.0000 0.5000 (multiplicity 2)

energy of formation = -0.007 eV per atom
calculated density = 12.92 g/cm3

Entry 4:
VASP calculation (PBE-GGA) on a geometry-optimized Ta2TcRh structure.

a b c (Å): 3.3126 4.5871 8.5317
angles (deg): 90.00 90.00 90.00
Space group Cmmm (No. 65)
Unique sites:
Ta 0.0000 0.0000 0.2479 (multiplicity 4)
Tc 0.0000 0.5000 0.5000 (multiplicity 2)
Rh 0.0000 0.5000 0.0000 (multiplicity 2)

energy of formation = -0.267 eV per atom
calculated density = 14.42 g/cm3

Entry 5:
VASP calculation (PBE-GGA) on a geometry-optimized Ta2TcRh structure.

a b c (Å): 9.6923 2.8700 4.7818
angles (deg): 90.00 99.71 90.00
Space group Cm (No. 8)
Unique sites:
Ta 0.0000 0.0000 0.0000 (multiplicity 2)
Ta 0.2283 0.0000 0.6745 (multiplicity 2)
Tc 0.4763 0.0000 0.4852 (multiplicity 2)
Rh 0.2477 0.5000 0.1871 (multiplicity 2)

energy of formation = -0.185 eV per atom
calculated density = 14.26 g/cm3

Entry 6:
VASP calculation (PBE-GGA) on a geometry-optimized TaTc2Rh structure.

a b c (Å): 2.7117 4.1959 5.5128
angles (deg): 90.00 100.18 90.00
Space group P2/m (No. 10)
Unique sites:
Ta 0.0000 0.0000 0.0000 (multiplicity 1)
Tc 0.4170 0.5000 0.2596 (multiplicity 2)
Rh 0.0000 0.0000 0.5000 (multiplicity 1)

energy of formation = -0.044 eV per atom
calculated density = 12.91 g/cm3

Entry 7:
VASP calculation (PBE-GGA) on a geometry-optimized TaTc2Rh structure.

a b c (Å): 3.1720 3.1720 6.1745
angles (deg): 90.00 90.00 90.00
Space group P4/mmm (No. 123)
Unique sites:
Ta 0.0000 0.0000 0.0000 (multiplicity 1)
Tc 0.5000 0.5000 0.2436 (multiplicity 2)
Rh 0.0000 0.0000 0.5000 (multiplicity 1)

energy of formation = 0.004 eV per atom
calculated density = 12.83 g/cm3

Entry 8:
VASP calculation (PBE-GGA) on a geometry-optimized TaTc2Rh structure.

a b c (Å): 3.8617 3.8617 4.0954
angles (deg): 90.00 90.00 90.00
Space group P4/mmm (No. 123)
Unique sites:
Ta 0.0000 0.0000 0.0000 (multiplicity 1)
Tc 0.0000 0.5000 0.5000 (multiplicity 2)
Rh 0.5000 0.5000 0.0000 (multiplicity 1)

energy of formation = -0.196 eV per atom
calculated density = 13.05 g/cm3

Entry 9:
VASP calculation (PBE-GGA) on a geometry-optimized TaTc2Rh structure.

a b c (Å): 9.2859 2.7848 4.8162
angles (deg): 90.00 99.72 90.00
Space group C2/m (No. 12)
Unique sites:
Ta 0.0000 0.0000 0.0000 (multiplicity 2)
Tc 0.2422 0.0000 0.7397 (multiplicity 4)
Rh 0.0000 0.5000 0.5000 (multiplicity 2)

energy of formation = -0.105 eV per atom
calculated density = 12.98 g/cm3

Entry 10:
VASP calculation (PBE-GGA) on a geometry-optimized Ta2TcRh structure.

a b c (Å): 2.7615 2.7615 8.5913
angles (deg): 90.00 90.00 90.00
Space group P4mm (No. 99)
Unique sites:
Ta 0.0000 0.0000 0.0000 (multiplicity 1)
Ta 0.5000 0.5000 0.2742 (multiplicity 1)
Tc 0.0000 0.0000 0.5384 (multiplicity 1)
Rh 0.5000 0.5000 0.7483 (multiplicity 1)

energy of formation = -0.083 eV per atom
calculated density = 14.26 g/cm3

Entry 11:
VASP calculation (PBE-GGA) on a geometry-optimized TaTcRh6 structure.

a b c (Å): 5.4746 5.4746 3.8800
angles (deg): 90.00 90.00 90.00
Space group P4/mmm (No. 123)
Unique sites:
Ta 0.0000 0.0000 0.0000 (multiplicity 1)
Tc 0.5000 0.5000 0.0000 (multiplicity 1)
Rh 0.0000 0.5000 0.0000 (multiplicity 2)
Rh 0.2544 0.2544 0.5000 (multiplicity 4)

energy of formation = -0.296 eV per atom
calculated density = 12.80 g/cm3

Entry 12:
VASP calculation (PBE-GGA) on a geometry-optimized TaTc2Rh structure.

a b c (Å): 3.9503 3.9503 7.8349
angles (deg): 90.00 90.00 90.00
Space group I-4m2 (No. 119)
Unique sites:
Ta 0.0000 0.0000 0.0000 (multiplicity 2)
Tc 0.0000 0.0000 0.5000 (multiplicity 2)
Tc 0.0000 0.5000 0.2500 (multiplicity 2)
Rh 0.0000 0.5000 0.7500 (multiplicity 2)

energy of formation = -0.166 eV per atom
calculated density = 13.03 g/cm3

Entry 13:
VASP calculation (PBE-GGA) on a geometry-optimized Ta2TcRh structure.

a b c (Å): 6.3805 6.3805 6.3805
angles (deg): 90.00 90.00 90.00
Space group F-43m (No. 216)
Unique sites:
Ta 0.0000 0.0000 0.0000 (multiplicity 4)
Ta 0.2500 0.2500 0.2500 (multiplicity 4)
Tc 0.2500 0.2500 0.7500 (multiplicity 4)
Rh 0.0000 0.0000 0.5000 (multiplicity 4)

energy of formation = -0.060 eV per atom
calculated density = 14.39 g/cm3

Entry 14:
VASP calculation (PBE-GGA) on a geometry-optimized Ta2TcRh structure.

a b c (Å): 6.3828 6.3828 6.3828
angles (deg): 90.00 90.00 90.00
Space group Fm-3m (No. 225)
Unique sites:
Ta 0.2500 0.2500 0.2500 (multiplicity 8)
Tc 0.0000 0.0000 0.0000 (multiplicity 4)
Rh 0.0000 0.0000 0.5000 (multiplicity 4)

energy of formation = -0.350 eV per atom
calculated density = 14.38 g/cm3

Entry 15:
VASP calculation (PBE-GGA) on a geometry-optimized TaTiTcRh structure.

a b c (Å): 3.1689 3.1689 6.2150
angles (deg): 90.00 90.00 90.00
Space group P4mm (No. 99)
Unique sites:
Ta 0.0000 0.0000 0.0000 (multiplicity 1)
Ti 0.0000 0.0000 0.4887 (multiplicity 1)
Tc 0.5000 0.5000 0.2487 (multiplicity 1)
Rh 0.5000 0.5000 0.7400 (multiplicity 1)

energy of formation = -0.590 eV per atom
calculated density = 11.43 g/cm3